Density functional theory data (PBE) for a relaxed structure of Mg6Ir2Rh.

**Formation enthalpy at 0 K**: -0.35 eV/atom
**Final energy**: -4.2028 eV/atom
**Size of the total moment**: 0.00 μB per formula unit

abc: 4.5284 4.5281 8.4806
angles: 90.00 90.00 120.00
Last column: nearest neighbours and their distance in Å.
Sites, in units of the cell vectors:
Mg 0.6667 0.3333 0.9320  4 Ir 2.75-3.06, 7 Mg 2.85-2.90
Mg 0.3333 0.6667 0.0680  4 Ir 2.75-3.06, 7 Mg 2.85-2.90
Mg 0.0000 0.0000 0.2016  1 Rh 2.53, 3 Ir 2.65
Mg 0.3333 0.6667 0.4095  3 Rh 2.72, 4 Ir 2.84-2.92, 4 Mg 2.90-3.03
Mg 0.0000 0.0000 0.7984  1 Rh 2.53, 3 Ir 2.65
Mg 0.6667 0.3333 0.5905  3 Rh 2.72, 4 Ir 2.84-2.92, 4 Mg 2.90-3.03
Ir 0.3334 0.6667 0.7439  8 Mg 2.65-2.92
Ir 0.6666 0.3333 0.2561  8 Mg 2.65-2.92
Rh 0.0000 0.0000 0.5000  8 Mg 2.53-2.72

Density functional theory data (PBE) for a relaxed structure of Mg4IrRh.

**Energy above the lowest structure with this stoichiometry**: 0 kJ/mol of formula units
**Formation enthalpy at 0 K**: -0.20 eV/atom
**Final energy**: -3.9653 eV/atom
**Size of the total moment**: 0.00 μB per formula unit

abc: 3.0704 7.3125 4.7497
angles: 90.00 90.00 90.00
Last column: nearest neighbours and their distance in Å.
Sites, in units of the cell vectors:
Mg 0.5000 0.6948 0.0000  2 Ir 2.71, 2 Rh 2.77, 5 Mg 2.85-2.94
Mg 0.5000 0.3052 0.0000  2 Ir 2.71, 2 Rh 2.77, 5 Mg 2.85-2.94
Mg 0.0000 0.1938 0.5000  2 Rh 2.72, 2 Ir 2.77, 5 Mg 2.83-2.94
Mg 0.0000 0.8062 0.5000  2 Rh 2.72, 2 Ir 2.77, 5 Mg 2.83-2.94
Ir 0.0000 0.0000 0.0000  8 Mg 2.71-2.77
Rh 0.5000 0.5000 0.5000  8 Mg 2.72-2.77

Density functional theory data (PBE) for a relaxed structure of Mg2Ir3Rh8.

**Formation enthalpy at 0 K**: 0.08 eV/atom
**Final energy**: -6.7388 eV/atom
**Size of the total moment**: 0.00 μB per formula unit

abc: 4.8786 7.1225 6.8271
angles: 121.44 81.69 90.00
Last column: nearest neighbours and their distance in Å.
Sites, in units of the cell vectors:
Mg 0.5840 0.6078 0.2155  3 Rh 2.40-2.68
Mg 0.4160 0.3922 0.7845  3 Rh 2.40-2.68
Ir 0.5000 0.0000 0.0000  6 Rh 2.64-2.73, 4 Ir 2.78
Ir 0.0000 0.1872 0.0000  6 Rh 2.62-2.77, 3 Ir 2.67-2.78
Ir 0.0000 0.8128 0.0000  6 Rh 2.62-2.77, 3 Ir 2.67-2.78
Rh 0.9247 0.3904 0.7807  2 Mg 2.40-2.48, 2 Ir 2.62, 3 Rh 2.67-2.68
Rh 0.0753 0.6096 0.2193  2 Mg 2.40-2.48, 2 Ir 2.62, 3 Rh 2.67-2.68
Rh 0.2498 0.8159 0.6319  3 Ir 2.64, 7 Rh 2.65-2.80, 1 Mg 2.68
Rh 0.7502 0.1841 0.3681  3 Ir 2.64, 7 Rh 2.65-2.80, 1 Mg 2.68
Rh 0.2519 0.0117 0.3911  7 Rh 2.62-2.86, 2 Ir 2.73-2.77, 2 Mg 2.86-2.87
Rh 0.2519 0.3794 0.3911  7 Rh 2.62-2.86, 2 Ir 2.73-2.77, 2 Mg 2.86-2.87
Rh 0.7481 0.6206 0.6089  7 Rh 2.62-2.86, 2 Ir 2.73-2.77, 2 Mg 2.86-2.87
Rh 0.7481 0.9883 0.6089  7 Rh 2.62-2.86, 2 Ir 2.73-2.77, 2 Mg 2.86-2.87

Density functional theory data (PBE) for a relaxed structure of Mg6IrRh5.

**Formation enthalpy at 0 K**: -0.43 eV/atom
**Final energy**: -5.0336 eV/atom
**Size of the total moment**: 0.00 μB per formula unit

abc: 4.4042 7.6531 7.6531
angles: 120.14 106.72 106.72
Last column: nearest neighbours and their distance in Å.
Sites, in units of the cell vectors:
Mg 0.2504 0.0836 0.4172  7 Rh 2.70-2.71, 1 Ir 2.71
Mg 0.7496 0.5828 0.9164  7 Rh 2.70-2.71, 1 Ir 2.71
Mg 0.7510 0.2510 0.2510  6 Rh 2.69-2.71, 2 Ir 2.70
Mg 0.2490 0.7490 0.7490  6 Rh 2.69-2.71, 2 Ir 2.70
Mg 0.2504 0.4172 0.0836  7 Rh 2.70-2.71, 1 Ir 2.71
Mg 0.7496 0.9164 0.5828  7 Rh 2.70-2.71, 1 Ir 2.71
Ir 0.0000 0.0000 0.0000  8 Mg 2.70-2.71
Rh 0.5000 0.1658 0.8342  8 Mg 2.70-2.71
Rh 0.0000 0.3327 0.6673  8 Mg 2.70-2.71
Rh 0.5000 0.5000 0.5000  8 Mg 2.69-2.71
Rh 0.0000 0.6673 0.3327  8 Mg 2.70-2.71
Rh 0.5000 0.8342 0.1658  8 Mg 2.70-2.71

Density functional theory data (PBE) for a relaxed structure of Mg6IrRh.

**Energy above the lowest structure with this stoichiometry**: 155 kJ/mol of formula units
**Formation enthalpy at 0 K**: -0.07 eV/atom
**Final energy**: -3.2879 eV/atom
**Size of the total moment**: 0.00 μB per formula unit

abc: 5.9767 5.9767 5.9481
angles: 102.15 102.15 119.92
Last column: nearest neighbours and their distance in Å.
Sites, in units of the cell vectors:
Mg 0.2492 0.2492 0.7515  1 Rh 2.50, 1 Ir 2.53
Mg 0.4441 0.0535 0.2499  1 Rh 2.58, 1 Ir 2.58
Mg 0.7508 0.7508 0.2485  1 Rh 2.50, 1 Ir 2.53
Mg 0.9465 0.5559 0.7501  1 Rh 2.58, 1 Ir 2.58
Mg 0.5559 0.9465 0.7501  1 Rh 2.58, 1 Ir 2.58
Mg 0.0535 0.4441 0.2499  1 Rh 2.58, 1 Ir 2.58
Ir 0.5000 0.5000 0.5000  6 Mg 2.53-2.58
Rh 0.0000 0.0000 0.0000  6 Mg 2.50-2.58

Density functional theory data (PBE) for a relaxed structure of Mg4IrRh.

**Energy above the lowest structure with this stoichiometry**: 20 kJ/mol of formula units
**Formation enthalpy at 0 K**: -0.17 eV/atom
**Final energy**: -3.9316 eV/atom
**Size of the total moment**: 0.00 μB per formula unit

abc: 4.3989 4.3999 6.1847
angles: 90.00 90.00 90.00
Last column: nearest neighbours and their distance in Å.
Sites, in units of the cell vectors:
Mg 0.5013 0.9972 0.2460  2 Ir 2.68, 2 Rh 2.70
Mg 0.5013 0.9974 0.7503  2 Ir 2.68, 2 Rh 2.70
Mg 0.0014 0.4973 0.7503  2 Ir 2.68, 2 Rh 2.70
Mg 0.0013 0.4972 0.2460  2 Ir 2.68, 2 Rh 2.70
Ir 0.5012 0.4973 0.9981  8 Mg 2.68
Rh 0.0013 0.9973 0.4981  8 Mg 2.70

Density functional theory data (PBE) for a relaxed structure of MgIr2Rh6.

**Formation enthalpy at 0 K**: -0.03 eV/atom
**Final energy**: -7.0789 eV/atom
**Size of the total moment**: 0.00 μB per formula unit

abc: 2.7477 11.4562 4.6899
angles: 70.05 72.95 83.06
Last column: nearest neighbours and their distance in Å.
Sites, in units of the cell vectors:
Mg 0.0000 0.5000 0.5000  10 Rh 2.70-2.81, 2 Mg 2.75
Ir 0.1497 0.8209 0.8766  9 Rh 2.60-2.77, 2 Ir 2.75
Ir 0.8503 0.1791 0.1234  9 Rh 2.60-2.77, 2 Ir 2.75
Rh 0.7198 0.6122 0.9470  2 Ir 2.67, 3 Mg 2.70-2.76, 7 Rh 2.74-2.80
Rh 0.2802 0.3878 0.0530  2 Ir 2.67, 3 Mg 2.70-2.76, 7 Rh 2.74-2.80
Rh 0.8641 0.9374 0.3324  4 Ir 2.60-2.77, 7 Rh 2.70-2.86
Rh 0.4360 0.7253 0.4009  3 Ir 2.64-2.69, 7 Rh 2.70-2.75, 2 Mg 2.81
Rh 0.1359 0.0626 0.6676  4 Ir 2.60-2.77, 7 Rh 2.70-2.86
Rh 0.5641 0.2747 0.5991  3 Ir 2.64-2.69, 7 Rh 2.70-2.75, 2 Mg 2.81

Density functional theory data (PBE) for a relaxed structure of Mg2IrRh.

**Formation enthalpy at 0 K**: -0.37 eV/atom
**Final energy**: -5.2178 eV/atom
**Size of the total moment**: 0.00 μB per formula unit

abc: 4.4129 4.4129 4.4130
angles: 60.00 60.00 60.00
Last column: nearest neighbours and their distance in Å.
Sites, in units of the cell vectors:
Mg 0.5000 0.5000 0.5000  4 Rh 2.70, 4 Ir 2.70
Mg 0.0000 0.0000 0.0000  4 Rh 2.70, 4 Ir 2.70
Ir 0.2500 0.2500 0.2500  8 Mg 2.70
Rh 0.7500 0.7500 0.7499  8 Mg 2.70

Density functional theory data (PBE) for a relaxed structure of Mg2Ir2Rh3.

**Formation enthalpy at 0 K**: -0.18 eV/atom
**Final energy**: -6.3171 eV/atom
**Size of the total moment**: 0.00 μB per formula unit

abc: 3.9225 4.7818 9.8638
angles: 135.52 90.00 114.21
Last column: nearest neighbours and their distance in Å.
Sites, in units of the cell vectors:
Mg 0.7221 0.4443 0.5789  6 Rh 2.72-2.87, 3 Mg 2.77-2.83, 3 Ir 2.83-2.84
Mg 0.2779 0.5557 0.4211  6 Rh 2.72-2.87, 3 Mg 2.77-2.83, 3 Ir 2.83-2.84
Ir 0.5914 0.1829 0.8685  2 Ir 2.65, 7 Rh 2.67-2.81, 3 Mg 2.83-2.84
Ir 0.4086 0.8171 0.1315  2 Ir 2.65, 7 Rh 2.67-2.81, 3 Mg 2.83-2.84
Rh 0.0000 0.0000 0.0000  6 Ir 2.67-2.79, 2 Mg 2.72, 4 Rh 2.73
Rh 0.8425 0.6851 0.2767  4 Ir 2.68-2.81, 5 Mg 2.73-2.87, 3 Rh 2.73-2.83
Rh 0.1575 0.3150 0.7233  4 Ir 2.68-2.81, 5 Mg 2.73-2.87, 3 Rh 2.73-2.83

Density functional theory data (PBE) for a relaxed structure of Mg2IrRh.

**Formation enthalpy at 0 K**: -0.36 eV/atom
**Final energy**: -5.2144 eV/atom
**Size of the total moment**: 0.00 μB per formula unit

abc: 3.1143 4.4174 4.4174
angles: 89.99 90.00 90.00
Last column: nearest neighbours and their distance in Å.
Sites, in units of the cell vectors:
Mg 0.0000 0.5000 0.0000  4 Ir 2.70, 4 Rh 2.70
Mg 0.0000 0.0000 0.5000  4 Rh 2.70, 4 Ir 2.70
Ir 0.5000 0.0000 0.0000  8 Mg 2.70
Rh 0.5000 0.5000 0.5000  8 Mg 2.70

Density functional theory data (PBE) for a relaxed structure of Mg2IrRh.

**Formation enthalpy at 0 K**: -0.23 eV/atom
**Final energy**: -5.0766 eV/atom
**Size of the total moment**: 0.00 μB per formula unit

abc: 5.0143 5.0143 5.0143
angles: 134.80 134.80 65.84
Last column: nearest neighbours and their distance in Å.
Sites, in units of the cell vectors:
Ir 0.7500 0.2500 0.5000  8 Mg 2.73-2.85, 4 Rh 2.85
Mg 0.0000 0.0000 0.0000  4 Rh 2.73, 4 Ir 2.85, 4 Mg 2.85
Mg 0.2500 0.7500 0.5000  4 Ir 2.73, 4 Rh 2.85, 4 Mg 2.85
Rh 0.5000 0.5000 0.0000  8 Mg 2.73-2.85, 4 Ir 2.85

Density functional theory data (PBE) for a relaxed structure of Mg2Ir2Rh.

**Formation enthalpy at 0 K**: -0.09 eV/atom
**Final energy**: -5.7404 eV/atom
**Size of the total moment**: 1.08 μB per formula unit

abc: 6.5234 6.5234 4.0850
angles: 90.00 90.00 90.00
Last column: nearest neighbours and their distance in Å.
Sites, in units of the cell vectors:
Mg 0.1743 0.6743 0.5000  6 Ir 2.73-2.86
Mg 0.6743 0.8257 0.5000  6 Ir 2.73-2.86
Mg 0.8257 0.3257 0.5000  6 Ir 2.73-2.86
Mg 0.3257 0.1743 0.5000  6 Ir 2.73-2.86
Ir 0.3701 0.8701 0.0000  1 Ir 2.40, 2 Rh 2.56
Ir 0.8701 0.6299 0.0000  1 Ir 2.40, 2 Rh 2.56
Ir 0.6299 0.1299 0.0000  1 Ir 2.40, 2 Rh 2.56
Ir 0.1299 0.3701 0.0000  1 Ir 2.40, 2 Rh 2.56
Rh 0.0000 0.0000 0.0000  4 Ir 2.56
Rh 0.5000 0.5000 0.0000  4 Ir 2.56

Density functional theory data (PBE) for a relaxed structure of Mg2IrRh.

**Formation enthalpy at 0 K**: -0.24 eV/atom
**Final energy**: -5.0892 eV/atom
**Size of the total moment**: 0.00 μB per formula unit

abc: 3.0794 4.7318 4.2566
angles: 90.00 90.00 90.00
Last column: nearest neighbours and their distance in Å.
Sites, in units of the cell vectors:
Ir 0.0000 0.5000 0.5000  4 Mg 2.63, 4 Rh 2.82
Mg 0.0000 0.0000 0.0000  4 Rh 2.63, 4 Mg 2.82
Mg 0.5000 0.5000 0.0000  4 Ir 2.63, 4 Mg 2.82
Rh 0.5000 0.0000 0.5000  4 Mg 2.63, 4 Ir 2.82

Density functional theory data (PBE) for a relaxed structure of Mg6IrRh.

**Energy above the lowest structure with this stoichiometry**: 0 kJ/mol of formula units
**Formation enthalpy at 0 K**: -0.27 eV/atom
**Final energy**: -3.4893 eV/atom
**Size of the total moment**: 0.00 μB per formula unit

abc: 4.5706 4.5706 7.7875
angles: 72.94 72.96 90.00
Last column: nearest neighbours and their distance in Å.
Sites, in units of the cell vectors:
Mg 0.7484 0.7481 0.5037  12 Mg 3.09-3.23
Mg 0.6013 0.1013 0.7975  2 Rh 2.70, 2 Ir 2.70, 1 Mg 2.87
Mg 0.1013 0.6012 0.7975  2 Ir 2.70, 2 Rh 2.70, 1 Mg 2.87
Mg 0.3987 0.8987 0.2025  2 Rh 2.70, 2 Ir 2.70, 1 Mg 2.87
Mg 0.2516 0.2519 0.4963  12 Mg 3.09-3.23
Mg 0.8987 0.3988 0.2025  2 Ir 2.70, 2 Rh 2.70, 1 Mg 2.87
Ir 0.5000 0.5000 0.0000  8 Mg 2.70
Rh 0.0000 0.0000 0.0000  8 Mg 2.70

Density functional theory data (PBE) for a relaxed structure of MgIr3Rh4.

**Formation enthalpy at 0 K**: -0.13 eV/atom
**Final energy**: -7.3263 eV/atom
**Size of the total moment**: 0.00 μB per formula unit

abc: 5.4667 5.4583 6.1175
angles: 77.26 132.06 119.89
Last column: nearest neighbours and their distance in Å.
Sites, in units of the cell vectors:
Mg 0.0000 0.0000 0.0000  6 Rh 2.73-2.77, 6 Ir 2.74-2.75
Ir 0.5000 0.5000 0.0000  6 Rh 2.69-2.73, 4 Ir 2.73, 2 Mg 2.74
Ir 0.7544 0.2546 0.5001  4 Ir 2.69-2.78, 6 Rh 2.72-2.75, 2 Mg 2.75
Ir 0.2456 0.7454 0.4999  4 Ir 2.69-2.78, 6 Rh 2.72-2.75, 2 Mg 2.75
Rh 0.0000 0.5000 0.0000  6 Rh 2.70-2.78, 2 Mg 2.73, 4 Ir 2.73
Rh 0.5000 0.0000 0.0000  6 Rh 2.70-2.78, 4 Ir 2.73, 2 Mg 2.73
Rh 0.2588 0.2518 0.5110  5 Ir 2.69-2.75, 6 Rh 2.70-2.78, 1 Mg 2.77
Rh 0.7412 0.7482 0.4890  5 Ir 2.69-2.75, 6 Rh 2.70-2.78, 1 Mg 2.77

Density functional theory data (PBE) for a relaxed structure of Mg4IrRh.

**Energy above the lowest structure with this stoichiometry**: 267 kJ/mol of formula units
**Formation enthalpy at 0 K**: 0.26 eV/atom
**Final energy**: -3.5035 eV/atom
**Size of the total moment**: 0.00 μB per formula unit

abc: 5.2392 5.2392 5.2392
angles: 60.00 60.00 60.00
Last column: nearest neighbours and their distance in Å.
Sites, in units of the cell vectors:
Mg 0.3749 0.3749 0.8754  6 Mg 2.62
Mg 0.8754 0.3749 0.3749  6 Mg 2.62
Mg 0.3749 0.3749 0.3749  6 Mg 2.62
Mg 0.3749 0.8754 0.3749  6 Mg 2.62
Ir 0.0000 0.0000 0.0000  12 Mg 3.07, 4 Rh 3.21
Rh 0.7500 0.7500 0.7500  12 Mg 3.07, 4 Ir 3.21

Density functional theory data (PBE) for a relaxed structure of MgIrRh3.

**Energy above the lowest structure with this stoichiometry**: 0 kJ/mol of formula units
**Formation enthalpy at 0 K**: -0.11 eV/atom
**Final energy**: -6.6149 eV/atom
**Size of the total moment**: 0.00 μB per formula unit

abc: 2.7624 8.9258 7.0638
angles: 103.16 66.96 81.12
Last column: nearest neighbours and their distance in Å.
Sites, in units of the cell vectors:
Mg 0.4194 0.3710 0.5039  2 Mg 2.76, 9 Rh 2.77-2.88, 1 Ir 2.83
Mg 0.0960 0.8468 0.5917  2 Mg 2.76, 9 Rh 2.77-2.88, 1 Ir 2.83
Ir 0.9237 0.4507 0.9609  7 Rh 2.61-2.75, 3 Ir 2.66-2.76, 1 Mg 2.83
Ir 0.5916 0.7671 0.1348  7 Rh 2.61-2.75, 3 Ir 2.66-2.76, 1 Mg 2.83
Rh 0.3096 0.1492 0.7256  7 Rh 2.59-2.76, 1 Ir 2.61, 3 Mg 2.77-2.88
Rh 0.2056 0.0686 0.3700  7 Rh 2.59-2.76, 1 Ir 2.61, 3 Mg 2.77-2.88
Rh 0.5225 0.6397 0.7678  4 Ir 2.68-2.75, 4 Rh 2.74-2.77, 4 Mg 2.81
Rh 0.3722 0.2517 0.1118  2 Ir 2.65, 8 Rh 2.67-2.77, 2 Mg 2.79-2.80
Rh 0.1432 0.9662 0.9838  2 Ir 2.65, 8 Rh 2.67-2.77, 2 Mg 2.79-2.80
Rh 0.9928 0.5781 0.3278  4 Ir 2.68-2.75, 4 Rh 2.74-2.77, 4 Mg 2.81

Density functional theory data (PBE) for a relaxed structure of Mg2IrRh.

**Formation enthalpy at 0 K**: -0.28 eV/atom
**Final energy**: -5.1340 eV/atom
**Size of the total moment**: 0.00 μB per formula unit

abc: 2.8930 4.9994 5.4340
angles: 51.95 90.00 90.00
Last column: nearest neighbours and their distance in Å.
Sites, in units of the cell vectors:
Ir 0.0000 0.0000 0.5000  6 Mg 2.71-2.72, 4 Rh 2.89, 2 Ir 2.89
Mg 0.0000 0.0000 0.0000  4 Rh 2.71, 2 Ir 2.72, 6 Mg 2.89
Mg 0.5000 0.5000 0.0000  4 Ir 2.71, 2 Rh 2.72, 6 Mg 2.89
Rh 0.5000 0.5000 0.5000  6 Mg 2.71-2.72, 4 Ir 2.89, 2 Rh 2.89

Density functional theory data (PBE) for a relaxed structure of Mg2IrRh.

**Formation enthalpy at 0 K**: -0.28 eV/atom
**Final energy**: -5.1333 eV/atom
**Size of the total moment**: 0.00 μB per formula unit

abc: 4.5995 4.5995 4.9945
angles: 79.27 79.27 36.68
Last column: nearest neighbours and their distance in Å.
Sites, in units of the cell vectors:
Ir 0.7500 0.7500 0.7500  6 Mg 2.71-2.72, 4 Rh 2.89, 2 Ir 2.89
Mg 0.9997 0.9997 0.9996  3 Rh 2.71-2.72, 3 Ir 2.71-2.72, 6 Mg 2.88-2.89
Mg 0.5003 0.5003 0.5004  3 Rh 2.71-2.72, 3 Ir 2.71-2.72, 6 Mg 2.88-2.89
Rh 0.2500 0.2500 0.2500  6 Mg 2.71-2.72, 4 Ir 2.89, 2 Rh 2.89

Density functional theory data (PBE) for a relaxed structure of MgIr4Rh.

**Formation enthalpy at 0 K**: 0.24 eV/atom
**Final energy**: -7.1573 eV/atom
**Size of the total moment**: 2.92 μB per formula unit

abc: 5.1775 5.1775 5.1775
angles: 60.00 60.00 60.00
Last column: nearest neighbours and their distance in Å.
Sites, in units of the cell vectors:
Mg 0.7500 0.7500 0.7500  12 Ir 3.04, 4 Rh 3.17
Ir 0.8751 0.3750 0.3750  6 Ir 2.59
Ir 0.3750 0.3750 0.8751  6 Ir 2.59
Ir 0.3750 0.8751 0.3750  6 Ir 2.59
Ir 0.3750 0.3750 0.3750  6 Ir 2.59
Rh 0.0000 0.0000 0.0000  12 Ir 3.04, 4 Mg 3.17